! PBE AcCd6Ge2, relaxed; values from VASP
&SYSTEM
  ibrav = 0, nat = 9, ntyp = 3
/
ATOMIC_SPECIES
Ac 227.00 Ac.upf
Cd 112.41 Cd.upf
Ge 72.64 Ge.upf
CELL_PARAMETERS angstrom
4.4479 0.0000 0.0000
0.0000 4.4479 0.0000
0.0000 0.0000 10.6607
ATOMIC_POSITIONS angstrom
Ac 0.0000 0.0000 0.0000
Cd 0.0000 0.0000 5.3304
Cd 0.0000 2.2240 3.1124
Cd 0.0000 2.2240 7.5484
Cd 2.2240 0.0000 3.1124
Cd 2.2240 0.0000 7.5484
Cd 2.2240 2.2240 5.3304
Ge 2.2240 2.2240 1.2984
Ge 2.2240 2.2240 9.3624
! Crystal system: tetragonal
! Space group: P4/mmm
! Mass density, g/cm³: 8.24
! Raw total energy, eV per atom: -2.2851
! Calculated formation energy, meV/atom: -192

! PBE Ac6Cd5Ge, relaxed; values from VASP
&SYSTEM
  ibrav = 0, nat = 12, ntyp = 3
/
ATOMIC_SPECIES
Ac 227.00 Ac.upf
Cd 112.41 Cd.upf
Ge 72.64 Ge.upf
CELL_PARAMETERS angstrom
2.8491 -8.6124 0.0000
2.8491 8.6124 0.0000
0.0000 0.0000 8.0711
ATOMIC_POSITIONS angstrom
Ac 0.0000 0.0000 1.8873
Ac 0.0000 0.0000 6.1838
Ac 2.8491 2.7522 1.9717
Ac 2.8491 2.7522 6.0994
Ac 2.8491 -2.7522 1.9717
Ac 2.8491 -2.7522 6.0994
Cd 2.8491 5.7138 4.0356
Cd 2.8491 5.5618 0.0000
Cd 2.8491 0.0000 4.0356
Cd 2.8491 -5.5618 0.0000
Cd 2.8491 -5.7138 4.0356
Ge 2.8491 0.0000 0.0000
! Crystal system: orthorhombic
! Space group: Cmmm
! Mass density, g/cm³: 8.37
! Raw total energy, eV per atom: -3.1650
! Calculated formation energy, meV/atom: -345

! PBE AcCd2Ge, relaxed; values from VASP
&SYSTEM
  ibrav = 0, nat = 4, ntyp = 3
/
ATOMIC_SPECIES
Ac 227.00 Ac.upf
Cd 112.41 Cd.upf
Ge 72.64 Ge.upf
CELL_PARAMETERS angstrom
4.5685 0.0000 0.0000
0.0000 4.5685 0.0000
0.0000 0.0000 5.2530
ATOMIC_POSITIONS angstrom
Ac 0.0000 0.0000 0.0000
Cd 0.0000 2.2842 2.6265
Cd 2.2842 0.0000 2.6265
Ge 2.2842 2.2842 0.0000
! Distance to the lowest polymorph of the same formula, meV/atom: 78.1
! Crystal system: tetragonal
! Space group: P4/mmm
! Mass density, g/cm³: 7.94
! Raw total energy, eV per atom: -2.9346
! Calculated formation energy, meV/atom: -296

! PBE AcCd4Ge, relaxed; values from VASP
&SYSTEM
  ibrav = 0, nat = 12, ntyp = 3
/
ATOMIC_SPECIES
Ac 227.00 Ac.upf
Cd 112.41 Cd.upf
Ge 72.64 Ge.upf
CELL_PARAMETERS angstrom
2.3002 -8.6964 0.0000
2.3002 8.6964 0.0000
0.0000 0.0000 7.6667
ATOMIC_POSITIONS angstrom
Ac 2.3002 6.4930 5.7500
Ac 2.3002 -6.4930 1.9167
Cd 2.3002 7.5776 1.9167
Cd 2.3002 2.9851 4.2709
Cd 2.3002 2.9851 7.2291
Cd 2.3002 0.0000 0.0000
Cd 2.3002 0.0000 3.8333
Cd 2.3002 -2.9851 0.4375
Cd 2.3002 -2.9851 3.3958
Cd 2.3002 -7.5776 5.7500
Ge 2.3002 4.6742 1.9167
Ge 2.3002 -4.6742 5.7500
! Distance to the lowest polymorph of the same formula, meV/atom: 0.0
! Crystal system: orthorhombic
! Space group: Cmcm
! Mass density, g/cm³: 8.11
! Raw total energy, eV per atom: -2.2788
! Calculated formation energy, meV/atom: -214

! PBE Ac6CdGe2, relaxed; values from VASP
&SYSTEM
  ibrav = 0, nat = 9, ntyp = 3
/
ATOMIC_SPECIES
Ac 227.00 Ac.upf
Cd 112.41 Cd.upf
Ge 72.64 Ge.upf
CELL_PARAMETERS angstrom
-2.7293 3.8460 8.1883
2.7293 -3.8460 8.1883
2.7293 3.8460 -8.1883
ATOMIC_POSITIONS angstrom
Ac 2.7293 1.8847 -2.7637
Ac 0.0000 1.8392 0.0000
Ac 2.7293 1.8847 2.7637
Ac 0.0000 1.9613 5.4246
Ac 0.0000 5.8528 0.0000
Ac 0.0000 1.9613 10.9520
Cd 0.0000 0.0000 8.1883
Ge 0.0000 0.0000 2.7769
Ge 0.0000 0.0000 13.5998
! Distance to the lowest polymorph of the same formula, meV/atom: 145.3
! Crystal system: orthorhombic
! Space group: Immm
! Mass density, g/cm³: 7.82
! Raw total energy, eV per atom: -4.1194
! Calculated formation energy, meV/atom: -253

! PBE Ac2CdGe2, relaxed; values from VASP
&SYSTEM
  ibrav = 0, nat = 20, ntyp = 3
/
ATOMIC_SPECIES
Ac 227.00 Ac.upf
Cd 112.41 Cd.upf
Ge 72.64 Ge.upf
CELL_PARAMETERS angstrom
7.8990 0.0000 0.0000
0.0000 7.8990 0.0000
0.0000 0.0000 9.2516
ATOMIC_POSITIONS angstrom
Ac 1.4245 2.5232 0.0000
Ac 1.4263 2.5250 4.6258
Ac 2.5232 6.4745 0.0000
Ac 2.5250 6.4727 4.6258
Ac 5.3740 1.4263 4.6258
Ac 5.3758 1.4245 0.0000
Ac 6.4727 5.3740 4.6258
Ac 6.4745 5.3758 0.0000
Cd 0.0000 0.0000 2.3176
Cd 0.0000 0.0000 6.9340
Cd 3.9495 3.9495 2.3082
Cd 3.9495 3.9495 6.9433
Ge 0.9190 4.8685 2.3129
Ge 0.9190 4.8685 6.9387
Ge 3.0305 0.9190 2.3129
Ge 3.0305 0.9190 6.9387
Ge 4.8685 6.9800 2.3129
Ge 4.8685 6.9800 6.9387
Ge 6.9800 3.0305 2.3129
Ge 6.9800 3.0305 6.9387
! Crystal system: tetragonal
! Space group: P4/mnc
! Mass density, g/cm³: 8.19
! Raw total energy, eV per atom: -4.3144
! Calculated formation energy, meV/atom: -641

! PBE Ac2CdGe, relaxed; values from VASP
&SYSTEM
  ibrav = 0, nat = 4, ntyp = 3
/
ATOMIC_SPECIES
Ac 227.00 Ac.upf
Cd 112.41 Cd.upf
Ge 72.64 Ge.upf
CELL_PARAMETERS angstrom
4.0655 0.0000 0.0000
0.0000 4.0655 0.0000
0.0000 0.0000 7.6512
ATOMIC_POSITIONS angstrom
Ac 0.0000 0.0000 1.7167
Ac 0.0000 0.0000 5.9345
Cd 2.0327 2.0327 3.8256
Ge 2.0327 2.0327 0.0000
! Crystal system: tetragonal
! Space group: P4/mmm
! Mass density, g/cm³: 8.39
! Raw total energy, eV per atom: -3.8766
! Calculated formation energy, meV/atom: -439

! PBE Ac6Cd23Ge, relaxed; values from VASP
&SYSTEM
  ibrav = 0, nat = 30, ntyp = 3
/
ATOMIC_SPECIES
Ac 227.00 Ac.upf
Cd 112.41 Cd.upf
Ge 72.64 Ge.upf
CELL_PARAMETERS angstrom
0.0000 7.3162 7.3162
7.3162 0.0000 7.3162
7.3162 7.3162 0.0000
ATOMIC_POSITIONS angstrom
Ac 7.3162 7.3162 3.0959
Ac 7.3162 3.0959 7.3162
Ac 11.5365 7.3162 7.3162
Ac 3.0959 7.3162 7.3162
Ac 7.3162 11.5365 7.3162
Ac 7.3162 7.3162 11.5365
Cd 3.6581 3.6581 0.0000
Cd 3.6581 0.0000 3.6581
Cd 7.3162 3.6581 3.6581
Cd 9.1140 5.5185 5.5185
Cd 2.4980 2.4980 2.4980
Cd 4.8182 4.8182 2.4980
Cd 4.8182 2.4980 4.8182
Cd 5.5185 5.5185 5.5185
Cd 9.1140 9.1140 5.5185
Cd 9.1140 5.5185 9.1140
Cd 2.4980 4.8182 4.8182
Cd 0.0000 3.6581 3.6581
Cd 3.6581 7.3162 3.6581
Cd 3.6581 3.6581 7.3162
Cd 7.3162 7.3162 7.3162
Cd 12.1344 9.8142 9.8142
Cd 5.5185 9.1140 5.5185
Cd 5.5185 5.5185 9.1140
Cd 9.1140 9.1140 9.1140
Cd 9.8142 12.1344 9.8142
Cd 9.8142 9.8142 12.1344
Cd 12.1344 12.1344 12.1344
Cd 5.5185 9.1140 9.1140
Ge 0.0000 0.0000 0.0000
! Crystal system: cubic
! Space group: Fm-3m
! Mass density, g/cm³: 8.52
! Raw total energy, eV per atom: -1.9832
! Calculated formation energy, meV/atom: -306